1.
The following is a DFT calculation (PBE-GGA) of a relaxed PuThS2 crystal.

The structure in CIF format:
```
data_PuThS2
_chemical_formula_sum 'Pu3 Th3 S6'
_space_group_name_H-M_alt 'R 3 m'
_space_group_IT_number 160
_space_group_name_Hall 'R 3 -2"'
_cell_length_a 3.9021
_cell_length_b 3.9021
_cell_length_c 21.1245
_cell_angle_alpha 90.00
_cell_angle_beta 90.00
_cell_angle_gamma 120.00
loop_
_atom_site_label
_atom_site_type_symbol
_atom_site_fract_x
_atom_site_fract_y
_atom_site_fract_z
Pu1 Pu 0.0000 0.0000 0.0000
Th1 Th 0.0000 0.0000 0.1750
S1 S 0.0000 0.0000 0.4176
S2 S 0.0000 0.0000 0.5923
```

Values from the calculation:
Its calculated volume is 279 Å³ per cell. Its excess energy over the best structure of this formula in the dataset is 130.0 meV/atom.

***

2.
The following is a DFT calculation (PBE-GGA) of a relaxed Tm2PuThS4 crystal.

The structure in CIF format:
```
data_Tm2PuThS4
_chemical_formula_sum 'Tm2 Pu1 Th1 S4'
_space_group_name_H-M_alt 'P 1 2/m 1'
_space_group_IT_number 10
_cell_length_a 6.7174
_cell_length_b 3.8657
_cell_length_c 6.9434
_cell_angle_alpha 90.00
_cell_angle_beta 108.74
_cell_angle_gamma 90.00
loop_
_space_group_symop_operation_xyz
'x,y,z'
'-x,-y,-z'
'-x,y,-z'
'x,-y,z'
loop_
_atom_site_label
_atom_site_type_symbol
_atom_site_fract_x
_atom_site_fract_y
_atom_site_fract_z
Tm1 Tm 0.0000 0.0000 0.0000
Tm2 Tm 0.5000 0.5000 0.0000
Pu1 Pu 0.0000 0.5000 0.5000
Th1 Th 0.5000 0.0000 0.5000
S1 S 0.2407 0.5000 0.2319
S2 S 0.2511 0.0000 0.7642
```

Values from the calculation:
Its calculated volume is 171 Å³ per cell.

***

3.
The following is a DFT calculation (PBE-GGA) of a relaxed Tm3PuTh4S8 crystal.

The structure in CIF format:
```
data_Tm3PuTh4S8
_chemical_formula_sum 'Tm9 Pu3 Th12 S24'
_space_group_name_H-M_alt 'R -3 m'
_space_group_IT_number 166
_space_group_name_Hall '-R 3 2"'
_cell_length_a 7.7745
_cell_length_b 7.7745
_cell_length_c 20.0621
_cell_angle_alpha 90.00
_cell_angle_beta 90.00
_cell_angle_gamma 120.00
loop_
_atom_site_label
_atom_site_type_symbol
_atom_site_fract_x
_atom_site_fract_y
_atom_site_fract_z
Tm1 Tm 0.0000 0.5000 0.0000
Pu1 Pu 0.0000 0.0000 0.0000
Th1 Th 0.0000 0.0000 0.5000
Th2 Th 0.0000 0.5000 0.5000
S1 S 0.0000 0.0000 0.2571
S2 S 0.0046 0.5023 0.2561
```

Values from the calculation:
Its calculated volume is 1050 Å³ per cell.

***

4.
The following is a DFT calculation (PBE-GGA) of a relaxed TmPu2ThS4 crystal.

The structure in CIF format:
```
data_TmPu2ThS4
_chemical_formula_sum 'Tm1 Pu2 Th1 S4'
_space_group_name_H-M_alt 'P 1 2/m 1'
_space_group_IT_number 10
_cell_length_a 6.8380
_cell_length_b 3.9238
_cell_length_c 6.8756
_cell_angle_alpha 90.00
_cell_angle_beta 109.11
_cell_angle_gamma 90.00
loop_
_space_group_symop_operation_xyz
'x,y,z'
'-x,-y,-z'
'-x,y,-z'
'x,-y,z'
loop_
_atom_site_label
_atom_site_type_symbol
_atom_site_fract_x
_atom_site_fract_y
_atom_site_fract_z
Tm1 Tm 0.0000 0.0000 0.0000
Pu1 Pu 0.5000 0.0000 0.5000
Pu2 Pu 0.5000 0.5000 0.0000
Th1 Th 0.0000 0.5000 0.5000
S1 S 0.2467 0.5000 0.2398
S2 S 0.2546 0.0000 0.7611
```

Values from the calculation:
Its calculated volume is 174 Å³ per cell.

***

5.
The following is a DFT calculation (PBE-GGA) of a relaxed TmPuTh2S4 crystal.

The structure in CIF format:
```
data_TmPuTh2S4
_chemical_formula_sum 'Tm1 Pu1 Th2 S4'
_space_group_name_H-M_alt 'P 1 2/m 1'
_space_group_IT_number 10
_cell_length_a 6.7891
_cell_length_b 3.9226
_cell_length_c 7.0118
_cell_angle_alpha 90.00
_cell_angle_beta 108.87
_cell_angle_gamma 90.00
loop_
_space_group_symop_operation_xyz
'x,y,z'
'-x,-y,-z'
'-x,y,-z'
'x,-y,z'
loop_
_atom_site_label
_atom_site_type_symbol
_atom_site_fract_x
_atom_site_fract_y
_atom_site_fract_z
Tm1 Tm 0.0000 0.0000 0.0000
Pu1 Pu 0.5000 0.5000 0.0000
Th1 Th 0.0000 0.5000 0.5000
Th2 Th 0.5000 0.0000 0.5000
S1 S 0.2398 0.5000 0.2326
S2 S 0.2510 0.0000 0.7655
```

Values from the calculation:
Its calculated volume is 177 Å³ per cell.

***

6.
The following is a DFT calculation (PBE-GGA) of a relaxed YPu2ThS4 crystal.

The structure in CIF format:
```
data_YPu2ThS4
_chemical_formula_sum 'Y1 Pu2 Th1 S4'
_space_group_name_H-M_alt 'P 1 2/m 1'
_space_group_IT_number 10
_cell_length_a 6.8813
_cell_length_b 3.9458
_cell_length_c 6.8840
_cell_angle_alpha 90.00
_cell_angle_beta 109.19
_cell_angle_gamma 90.00
loop_
_space_group_symop_operation_xyz
'x,y,z'
'-x,-y,-z'
'-x,y,-z'
'x,-y,z'
loop_
_atom_site_label
_atom_site_type_symbol
_atom_site_fract_x
_atom_site_fract_y
_atom_site_fract_z
Y1 Y 0.0000 0.0000 0.0000
Pu1 Pu 0.5000 0.0000 0.5000
Pu2 Pu 0.5000 0.5000 0.0000
Th1 Th 0.0000 0.5000 0.5000
S1 S 0.2515 0.5000 0.2449
S2 S 0.2568 0.0000 0.7584
```

Values from the calculation:
Its calculated volume is 177 Å³ per cell.

***

7.
The following is a DFT calculation (PBE-GGA) of a relaxed Y2Pu3ThS6 crystal.

The structure in CIF format:
```
data_Y2Pu3ThS6
_chemical_formula_sum 'Y4 Pu6 Th2 S12'
_space_group_name_H-M_alt 'C 1 2/m 1'
_space_group_IT_number 12
_cell_length_a 17.2449
_cell_length_b 3.9408
_cell_length_c 7.9503
_cell_angle_alpha 90.00
_cell_angle_beta 103.32
_cell_angle_gamma 90.00
loop_
_space_group_symop_operation_xyz
'x,y,z'
'-x,-y,-z'
'-x,y,-z'
'x,-y,z'
'x+1/2,y+1/2,z'
'-x+1/2,-y+1/2,-z'
'-x+1/2,y+1/2,-z'
'x+1/2,-y+1/2,z'
loop_
_atom_site_label
_atom_site_type_symbol
_atom_site_fract_x
_atom_site_fract_y
_atom_site_fract_z
Y1 Y 0.1669 0.0000 0.3335
Pu1 Pu 0.0000 0.5000 0.5000
Pu2 Pu 0.1653 0.0000 0.8340
Th1 Th 0.0000 0.5000 0.0000
S1 S 0.0014 0.0000 0.2587
S2 S 0.1675 0.5000 0.5825
S3 S 0.1699 0.5000 0.0875
```

Values from the calculation:
Its calculated volume is 526 Å³ per cell.

***

8.
The following is a DFT calculation (PBE-GGA) of a relaxed Pu2TiS6 crystal.

The structure in CIF format:
```
data_Pu2TiS6
_chemical_formula_sum 'Pu4 Ti2 S12'
_space_group_name_H-M_alt 'P 42/m n m'
_space_group_IT_number 136
_space_group_name_Hall '-P 4n 2n'
_cell_length_a 6.1295
_cell_length_b 6.1295
_cell_length_c 11.5797
_cell_angle_alpha 90.00
_cell_angle_beta 90.00
_cell_angle_gamma 90.00
loop_
_atom_site_label
_atom_site_type_symbol
_atom_site_fract_x
_atom_site_fract_y
_atom_site_fract_z
Pu1 Pu 0.0000 0.0000 0.1721
Ti1 Ti 0.0000 0.0000 0.5000
S1 S 0.1918 0.1918 0.3505
S2 S 0.2059 0.2059 0.0000
```

Values from the calculation:
Its calculated volume is 435 Å³ per cell.

***

9.
The following is a DFT calculation (PBE-GGA) of a relaxed PuTi2S6 crystal.

The structure in CIF format:
```
data_PuTi2S6
_chemical_formula_sum 'Pu2 Ti4 S12'
_space_group_name_H-M_alt 'C 1 2/m 1'
_space_group_IT_number 12
_cell_length_a 12.4247
_cell_length_b 4.6417
_cell_length_c 8.4181
_cell_angle_alpha 90.00
_cell_angle_beta 125.77
_cell_angle_gamma 90.00
loop_
_space_group_symop_operation_xyz
'x,y,z'
'-x,-y,-z'
'-x,y,-z'
'x,-y,z'
'x+1/2,y+1/2,z'
'-x+1/2,-y+1/2,-z'
'-x+1/2,y+1/2,-z'
'x+1/2,-y+1/2,z'
loop_
_atom_site_label
_atom_site_type_symbol
_atom_site_fract_x
_atom_site_fract_y
_atom_site_fract_z
Pu1 Pu 0.0000 0.0000 0.0000
Ti1 Ti 0.1817 0.0000 0.6122
S1 S 0.0346 0.0000 0.7022
S2 S 0.1401 0.5000 0.0548
S3 S 0.2409 0.5000 0.6130
```

Values from the calculation:
Its calculated volume is 394 Å³ per cell.

***

10.
The following is a DFT calculation (PBE-GGA) of a relaxed PuTiS4 crystal.

The structure in CIF format:
```
data_PuTiS4
_chemical_formula_sum 'Pu4 Ti4 S16'
_space_group_name_H-M_alt 'C 1 2/c 1'
_space_group_IT_number 15
_cell_length_a 7.7010
_cell_length_b 12.9813
_cell_length_c 6.1482
_cell_angle_alpha 90.00
_cell_angle_beta 126.37
_cell_angle_gamma 90.00
loop_
_space_group_symop_operation_xyz
'x,y,z'
'-x,-y,-z'
'-x,y,-z+1/2'
'x,-y,z+1/2'
'x+1/2,y+1/2,z'
'-x+1/2,-y+1/2,-z'
'-x+1/2,y+1/2,-z+1/2'
'x+1/2,-y+1/2,z+1/2'
loop_
_atom_site_label
_atom_site_type_symbol
_atom_site_fract_x
_atom_site_fract_y
_atom_site_fract_z
Pu1 Pu 0.0000 0.1353 0.2500
Ti1 Ti 0.0000 0.4258 0.7500
S1 S 0.1270 0.2880 0.6257
S2 S 0.2456 0.0350 0.7635
```

Values from the calculation:
Its calculated volume is 495 Å³ per cell.

***

11.
The following is a DFT calculation (PBE-GGA) of a relaxed Pu2TiS5 crystal.

The structure in CIF format:
```
data_Pu2TiS5
_chemical_formula_sum 'Pu8 Ti4 S20'
_space_group_name_H-M_alt 'C m c m'
_space_group_IT_number 63
_space_group_name_Hall '-C 2c 2'
_cell_length_a 5.2415
_cell_length_b 12.7847
_cell_length_c 12.1892
_cell_angle_alpha 90.00
_cell_angle_beta 90.00
_cell_angle_gamma 90.00
loop_
_atom_site_label
_atom_site_type_symbol
_atom_site_fract_x
_atom_site_fract_y
_atom_site_fract_z
Pu1 Pu 0.0000 0.1483 0.0666
Ti1 Ti 0.0000 0.1969 0.7500
S1 S 0.0000 0.0518 0.6263
S2 S 0.0000 0.2732 0.2500
S3 S 0.0000 0.3126 0.5834
```

Values from the calculation:
Its calculated volume is 817 Å³ per cell.

***

12.
The following is a DFT calculation (PBE-GGA) of a relaxed PuTiS crystal.

The structure in CIF format:
```
data_PuTiS
_chemical_formula_sum 'Pu4 Ti4 S4'
_space_group_name_H-M_alt 'C m c m'
_space_group_IT_number 63
_space_group_name_Hall '-C 2c 2'
_cell_length_a 3.5395
_cell_length_b 10.7817
_cell_length_c 5.7622
_cell_angle_alpha 90.00
_cell_angle_beta 90.00
_cell_angle_gamma 90.00
loop_
_atom_site_label
_atom_site_type_symbol
_atom_site_fract_x
_atom_site_fract_y
_atom_site_fract_z
Pu1 Pu 0.0000 0.1925 0.2500
Ti1 Ti 0.0000 0.5000 0.0000
S1 S 0.0000 0.0994 0.7500
```

Values from the calculation:
Its calculated volume is 220 Å³ per cell.

***

Computed final energy (Ry per atom) in order:
-0.6759, -0.5717, -0.5531, -0.6594, -0.5969, -0.6792, -0.6777, -0.5900, -0.5357, -0.5666, -0.6306, -0.7085
Computed theoretical density (Mg/m³) in order:
9.7, 9.2, 9.2, 9.7, 9.4, 8.8, 8.4, 5.6, 4.5, 5.6, 5.7, 9.8
Computed formation energy (no corrections) (eV/atom) in order:
-1.695, -1.877, -1.872, -1.839, -1.852, -1.859, -1.878, -1.214, -1.190, -1.253, -1.431, -0.856